No. 1
This record from Alexandria describes crystalline Rb2La2Cl7 at its relaxed geometry. The functional is PBE.

ΔE_f (raw) = -2255 kJ/mol of formula units

a b c (Å): 7.0504 7.7068 7.0504
angles (deg): 90.00 97.67 90.00
Sites, in units of the cell vectors:
Cl: 0.4998 0.2202 0.5002
Cl: 0.0000 0.0000 0.0000
Cl: 0.5002 0.7798 0.4998
Cl: 0.5003 0.7663 0.9998
Cl: 0.9998 0.2337 0.5003
Cl: 0.0002 0.7663 0.4997
Cl: 0.4997 0.2337 0.0002
Rb: 0.7604 0.5000 0.7604
Rb: 0.2396 0.5000 0.2396
La: 0.2771 0.0000 0.7229
La: 0.7229 0.0000 0.2771

No. 2
This record from Alexandria describes crystalline RbLa2Cl at its relaxed geometry. The functional is PBE.

excess energy over the best structure of this formula in the dataset = 0 meV per atom
ΔE_f (raw) = -109 kJ/mol of formula units

a b c (Å): 9.8451 9.8451 7.7168
angles (deg): 50.36 50.36 90.00
Sites, in units of the cell vectors:
Rb: 0.7500 0.2500 0.5000
Rb: 0.0000 0.0000 0.0000
La: 0.2327 0.6250 0.2500
La: 0.5173 0.1250 0.2500
La: 0.3750 0.4827 0.7500
La: 0.8750 0.7673 0.7500
Cl: 0.2500 0.7500 0.5000
Cl: 0.5000 0.5000 0.0000

No. 3
This record from Alexandria describes crystalline Rb2LaRhCl6 at its relaxed geometry. The functional is PBE.

ΔE_f (raw) = -1567 kJ/mol of formula units

a b c (Å): 7.1789 7.1789 8.1386
angles (deg): 63.83 63.83 90.00
Sites, in units of the cell vectors:
Cl: 0.2702 0.2702 0.0000
Cl: 0.2186 0.2186 0.5628
Cl: 0.7298 0.2702 0.0000
Cl: 0.2702 0.7298 0.0000
Cl: 0.7814 0.7814 0.4372
Cl: 0.7298 0.7298 0.0000
Rh: 0.5000 0.5000 0.0000
Rb: 0.7500 0.2500 0.5000
Rb: 0.2500 0.7500 0.5000
La: 0.0000 0.0000 0.0000

No. 4
This record from Alexandria describes crystalline RbLaSCl2 at its relaxed geometry. The functional is PBE.

excess energy over the best structure of this formula in the dataset = 1274 meV per atom
ΔE_f (raw) = -364 kJ/mol of formula units

a b c (Å): 5.4853 5.4853 5.7928
angles (deg): 90.00 90.00 90.00
Sites, in units of the cell vectors:
S: 0.0000 0.0000 0.5000
Cl: 0.0000 0.5000 0.0000
Cl: 0.5000 0.0000 0.0000
Rb: 0.0000 0.0000 0.0000
La: 0.5000 0.5000 0.5000

No. 5
This record from Alexandria describes crystalline RbLaSCl at its relaxed geometry. The functional is PBE.

ΔE_f (raw) = -671 kJ/mol of formula units

a b c (Å): 4.1795 4.1796 8.4484
angles (deg): 90.00 104.32 120.00
Sites, in units of the cell vectors:
La: 0.1215 0.9587 0.0954
S: 0.3261 0.5610 0.9024
Cl: 0.9460 0.3710 0.3321
Rb: 0.4843 0.1400 0.6398

No. 6
This record from Alexandria describes crystalline RbLaSCl2 at its relaxed geometry. The functional is PBE.

excess energy over the best structure of this formula in the dataset = 0 meV per atom
ΔE_f (raw) = -978 kJ/mol of formula units

a b c (Å): 5.6883 5.6883 5.5022
angles (deg): 90.00 90.00 90.00
Sites, in units of the cell vectors:
La: 0.0000 0.0000 0.0000
Cl: 0.5000 0.0000 0.0000
Cl: 0.0000 0.5000 0.0000
S: 0.0000 0.0000 0.5000
Rb: 0.5000 0.5000 0.5000

no.,density (kg/m3)
1,3048
2,4103
3,3168
4,3119
5,3957
6,3053